No. 1
Zr2AgCl | meta-GGA SCAN | PBEsol geometry

formation energy from raw total energies	-407.0	meV/atom
Fermi-level density of states	3.2	states/eV/f.u.
energy	-102.37	eV per cell
symmetry	No. 10
polymorph energy (0 for the lowest one)	0	meV/atom
magnetic moment	0.00	μB/f.u.
density	6.97	Mg/m³

a = 3.075 Å, b = 3.671 Å, c = 6.879 Å
α = 90.00°, β = 90.40°, γ = 90.00°
Fractional positions:
1 Zr 0.004 0.000 0.252
2 Zr 0.996 0.000 0.748
3 Ag 0.500 0.500 0.000
4 Cl 0.000 0.500 0.500

No. 2
PbAu3 | meta-GGA SCAN | PBEsol geometry

Fermi-level density of states	1.0	states/eV/f.u.
energy	-566.66	eV per cell
symmetry	No. 59
magnetic moment	0.00	μB/f.u.
density	16.31	Mg/m³
formation enthalpy at 0 K	-20	meV/atom

a = 4.552 Å, b = 6.257 Å, c = 5.705 Å
α = 90.00°, β = 90.00°, γ = 90.00°
Fractional positions:
1 Au 0.500 0.138 0.753
2 Au 0.000 0.862 0.253
3 Au 0.000 0.261 0.500
4 Au 0.500 0.739 0.000
5 Au 0.500 0.138 0.247
6 Au 0.000 0.862 0.747
7 Pb 0.500 0.600 0.500
8 Pb 0.000 0.400 0.000

No. 3
Sr3CaIrO6 | meta-GGA SCAN | PBEsol geometry

formation energy from raw total energies	-2588.1	meV/atom
Fermi-level density of states	4.4	states/eV/f.u.
energy	-426.89	eV per cell
symmetry	No. 167
magnetic moment	1.01	μB/f.u.
density	6.36	Mg/m³

a = 6.761 Å, b = 6.761 Å, c = 6.761 Å
α = 91.35°, β = 91.35°, γ = 91.35°
Last column: magnetic moment on the atom in μB.
Fractional positions:
1 Ca 0.750 0.750 0.750  0.00
2 Ca 0.250 0.250 0.250  0.00
3 O 0.918 0.714 0.051  0.06
4 O 0.051 0.918 0.714  0.06
5 O 0.214 0.418 0.551  0.06
6 O 0.082 0.286 0.949  0.06
7 O 0.949 0.082 0.286  0.06
8 O 0.582 0.449 0.786  0.06
9 O 0.418 0.551 0.214  0.06
10 O 0.449 0.786 0.582  0.06
11 O 0.551 0.214 0.418  0.06
12 O 0.786 0.582 0.449  0.06
13 O 0.286 0.949 0.082  0.06
14 O 0.714 0.051 0.918  0.06
15 Ir 0.500 0.500 0.500  0.61
16 Ir 0.000 0.000 0.000  0.61
17 Sr 0.114 0.750 0.386  0.00
18 Sr 0.886 0.250 0.614  0.00
19 Sr 0.250 0.614 0.886  0.00
20 Sr 0.614 0.886 0.250  0.00
21 Sr 0.750 0.386 0.114  0.00
22 Sr 0.386 0.114 0.750  0.00

No. 4
SrScCl | meta-GGA SCAN | PBEsol geometry

formation energy from raw total energies	-401.0	meV/atom
Fermi-level density of states	2.0	states/eV/f.u.
energy	-45.69	eV per cell
symmetry	No. 216
polymorph energy (0 for the lowest one)	486	meV/atom
magnetic moment	2.00	μB/f.u.
density	3.38	Mg/m³

a = 4.888 Å, b = 4.888 Å, c = 4.888 Å
α = 60.00°, β = 60.00°, γ = 60.00°
Last column: magnetic moment on the atom in μB.
Fractional positions:
1 Sr 0.500 0.500 0.500  0.18
2 Sc 0.000 0.000 0.000  1.04
3 Cl 0.250 0.250 0.250  -0.01

No. 5
LaZn2Re | meta-GGA SCAN | PBEsol geometry

Fermi-level density of states	3.6	states/eV/f.u.
energy	-139.27	eV per cell
symmetry	No. 123
polymorph energy (0 for the lowest one)	346	meV/atom
magnetic moment	0.00	μB/f.u.
density	10.32	Mg/m³
formation enthalpy at 0 K	492	meV/atom

a = 3.990 Å, b = 3.990 Å, c = 4.607 Å
α = 90.00°, β = 90.00°, γ = 90.00°
Fractional positions:
1 La 0.500 0.500 0.500
2 Zn 0.500 0.000 0.000
3 Zn 0.000 0.500 0.000
4 Re 0.000 0.000 0.500

No. 6
Ba2HoCu3O7 | meta-GGA SCAN | PBEsol geometry

formation energy from raw total energies	-2066.1	meV/atom
Fermi-level density of states	2.8	states/eV/f.u.
energy	-244.16	eV per cell
symmetry	No. 47
magnetic moment	0.00	μB/f.u.
density	7.32	Mg/m³

a = 3.792 Å, b = 3.860 Å, c = 11.499 Å
α = 90.00°, β = 90.00°, γ = 90.00°
Fractional positions:
1 O 0.000 0.500 0.622
2 O 0.000 0.500 0.378
3 O 0.500 0.000 0.379
4 O 0.000 0.000 0.162
5 O 0.500 0.000 0.621
6 O 0.000 0.000 0.838
7 O 0.000 0.500 0.000
8 Ho 0.500 0.500 0.500
9 Ba 0.500 0.500 0.818
10 Ba 0.500 0.500 0.182
11 Cu 0.000 0.000 0.353
12 Cu 0.000 0.000 0.000
13 Cu 0.000 0.000 0.647

No. 7
BaMn2IrS | meta-GGA SCAN | PBEsol geometry

formation energy from raw total energies	-99.5	meV/atom
Fermi-level density of states	2.4	states/eV/f.u.
energy	-157.29	eV per cell
symmetry	No. 123
magnetic moment	10.19	μB/f.u.
density	5.73	Mg/m³

a = 4.753 Å, b = 4.753 Å, c = 6.045 Å
α = 90.00°, β = 90.00°, γ = 90.00°
Last column: magnetic moment on the atom in μB.
Fractional positions:
1 Mn 0.000 0.500 0.000  4.38
2 Mn 0.500 0.000 0.000  4.38
3 Ir 0.000 0.000 0.000  0.36
4 S 0.500 0.500 0.500  0.15
5 Ba 0.000 0.000 0.500  0.01

No. 8
Hf2FeGe2 | meta-GGA SCAN | PBEsol geometry

Fermi-level density of states	2.2	states/eV/f.u.
energy	-369.03	eV per cell
symmetry	No. 127
magnetic moment	1.12	μB/f.u.
density	11.62	Mg/m³
formation enthalpy at 0 K	-573	meV/atom

a = 4.131 Å, b = 6.213 Å, c = 6.213 Å
α = 90.00°, β = 90.00°, γ = 90.00°
Last column: magnetic moment on the atom in μB.
Fractional positions:
1 Fe 0.000 0.500 0.500  -1.45
2 Fe 0.000 0.000 0.000  -1.45
3 Hf 0.500 0.327 0.173  0.08
4 Hf 0.500 0.173 0.673  0.08
5 Hf 0.500 0.673 0.827  0.08
6 Hf 0.500 0.827 0.327  0.08
7 Ge 0.000 0.142 0.358  0.04
8 Ge 0.000 0.858 0.642  0.04
9 Ge 0.000 0.358 0.858  0.04
10 Ge 0.000 0.642 0.142  0.04

No. 9
Y2ZrCu | meta-GGA SCAN | PBEsol geometry

Fermi-level density of states	4.0	states/eV/f.u.
energy	-101.78	eV per cell
symmetry	No. 99
polymorph energy (0 for the lowest one)	17	meV/atom
magnetic moment	0.07	μB/f.u.
density	5.92	Mg/m³
formation enthalpy at 0 K	-50	meV/atom

a = 3.349 Å, b = 3.349 Å, c = 8.318 Å
α = 90.00°, β = 90.00°, γ = 90.00°
Fractional positions:
1 Zr 0.000 0.000 0.550
2 Y 0.500 0.500 0.280
3 Y 0.000 0.000 0.948
4 Cu 0.500 0.500 0.723

No. 10
Cd2BiO | meta-GGA SCAN | PBEsol geometry

formation energy from raw total energies	-396.8	meV/atom
Fermi-level density of states	2.8	states/eV/f.u.
energy	-294.45	eV per cell
symmetry	No. 122
magnetic moment	0.00	μB/f.u.
density	8.38	Mg/m³

a = 6.192 Å, b = 6.192 Å, c = 6.192 Å
α = 98.87°, β = 115.02°, γ = 115.02°
Fractional positions:
1 Cd 0.902 0.527 0.125
2 Cd 0.402 0.875 0.777
3 Cd 0.098 0.223 0.625
4 Cd 0.598 0.375 0.473
5 O 0.000 0.500 0.500
6 O 0.500 0.250 0.750
7 Bi 0.000 0.000 0.000
8 Bi 0.500 0.750 0.250

No. 11
HfIn2BiB | meta-GGA SCAN | PBEsol geometry

Fermi-level density of states	3.8	states/eV/f.u.
energy	-211.22	eV per cell
symmetry	No. 123
magnetic moment	0.00	μB/f.u.
density	9.41	Mg/m³
formation enthalpy at 0 K	847	meV/atom

a = 4.563 Å, b = 4.563 Å, c = 5.320 Å
α = 90.00°, β = 90.00°, γ = 90.00°
Fractional positions:
1 Bi 0.000 0.000 0.500
2 In 0.000 0.500 0.000
3 In 0.500 0.000 0.000
4 Hf 0.500 0.500 0.500
5 B 0.000 0.000 0.000

No. 12
K2Hg2Bi | meta-GGA SCAN | PBEsol geometry

Fermi-level density of states	0.7	states/eV/f.u.
energy	-233.09	eV per cell
symmetry	No. 139
polymorph energy (0 for the lowest one)	48	meV/atom
magnetic moment	0.00	μB/f.u.
density	6.10	Mg/m³
formation enthalpy at 0 K	-305	meV/atom

a = 6.361 Å, b = 6.361 Å, c = 6.361 Å
α = 93.64°, β = 117.92°, γ = 117.92°
Fractional positions:
1 Hg 0.000 0.661 0.661
2 Hg 0.000 0.339 0.339
3 Bi 0.000 0.000 0.000
4 K 0.500 0.750 0.250
5 K 0.500 0.250 0.750

Q: What is the formula in the sixth record?
A: Ba2HoCu3O7

Q: energy of number 11 (HfIn2BiB)?
A: -211.22 eV per cell

Q: What is the formula in the twelfth record?
A: K2Hg2Bi

Q: Which formula does entry 4 have?
A: SrScCl